[1]
## POs2Cl (PBE-GGA)

Data for POs2Cl after structural relaxation.

Output
- Symmetry: No. 35
- E above lowest polymorph: 0.397 eV/atom

```
data_POs2Cl
_chemical_formula_sum 'P1 Os2 Cl1'
_space_group_name_H-M_alt 'P 1'
_space_group_IT_number 1
_cell_length_a 2.893
_cell_length_b 2.893
_cell_length_c 9.994
_cell_angle_alpha 90.00
_cell_angle_beta 90.00
_cell_angle_gamma 122.34
loop_
_space_group_symop_operation_xyz
'x,y,z'
loop_
_atom_site_label
_atom_site_type_symbol
_atom_site_fract_x
_atom_site_fract_y
_atom_site_fract_z
Cl1 Cl 0.500 0.500 0.813
Os1 Os 0.000 0.000 0.011
Os2 Os 0.500 0.500 0.243
P1 P 0.000 0.000 0.432
```


[2]
## Ba3Hg2Pd2Pb4 (PBE-GGA)

Data for Ba3Hg2Pd2Pb4 after structural relaxation.

Output
- Symmetry: No. 164
- ΔH_f (0 K): -0.47 eV/atom

```
data_Ba3Hg2Pd2Pb4
_chemical_formula_sum 'Ba3 Hg2 Pd2 Pb4'
_space_group_name_H-M_alt 'P 1'
_space_group_IT_number 1
_cell_length_a 5.255
_cell_length_b 5.255
_cell_length_c 14.595
_cell_angle_alpha 90.00
_cell_angle_beta 90.00
_cell_angle_gamma 120.00
loop_
_space_group_symop_operation_xyz
'x,y,z'
loop_
_atom_site_label
_atom_site_type_symbol
_atom_site_fract_x
_atom_site_fract_y
_atom_site_fract_z
Ba1 Ba 0.000 0.000 0.695
Ba2 Ba 0.000 0.000 0.000
Ba3 Ba 0.000 0.000 0.305
Hg1 Hg 0.667 0.333 0.864
Hg2 Hg 0.333 0.667 0.136
Pd1 Pd 0.667 0.333 0.369
Pd2 Pd 0.333 0.667 0.631
Pb1 Pb 0.667 0.333 0.166
Pb2 Pb 0.333 0.667 0.834
Pb3 Pb 0.667 0.333 0.557
Pb4 Pb 0.333 0.667 0.443
```


[3]
## TlSiPt (PBE-GGA)

Data for TlSiPt after structural relaxation.

Output
- Symmetry: No. 74
- E above lowest polymorph: 0.163 eV/atom

```
data_TlSiPt
_chemical_formula_sum 'Tl2 Si2 Pt2'
_space_group_name_H-M_alt 'P 1'
_space_group_IT_number 1
_cell_length_a 5.304
_cell_length_b 5.304
_cell_length_c 5.304
_cell_angle_alpha 75.16
_cell_angle_beta 70.63
_cell_angle_gamma 114.35
loop_
_space_group_symop_operation_xyz
'x,y,z'
loop_
_atom_site_label
_atom_site_type_symbol
_atom_site_fract_x
_atom_site_fract_y
_atom_site_fract_z
Tl1 Tl 0.750 0.873 0.377
Tl2 Tl 0.250 0.127 0.623
Pt1 Pt 0.500 0.000 0.000
Pt2 Pt 0.000 0.500 0.000
Si1 Si 0.000 0.500 0.500
Si2 Si 0.500 0.500 0.000
```


Computed uncorrected energy, in the same sequence as the records: -6.8089, -3.3387, -4.6273 eV per atom.